LaNpHg | PBE | relaxed

Properties
Formation energy from the elements ... 425 meV/atom
SG ... F-43m (216)

Structure (CIF):
```
data_LaNpHg
_cell_length_a 5.2348
_cell_length_b 5.2348
_cell_length_c 5.2348
_cell_angle_alpha 60.00
_cell_angle_beta 60.00
_cell_angle_gamma 60.00
_space_group_name_H-M_alt 'P 1'
_space_group_IT_number 1
loop_
_space_group_symop_operation_xyz
'x,y,z'
loop_
_atom_site_label
_atom_site_fract_x
_atom_site_fract_y
_atom_site_fract_z
Hg1 0.0000 0.0000 0.0000
La1 0.2500 0.2500 0.2500
Np1 0.7500 0.7500 0.7500
```

LuCoOs2 | PBE | relaxed

Properties
Formation energy from the elements ... 217 meV/atom
SG ... F-43m (216)

Structure (CIF):
```
data_LuCoOs2
_cell_length_a 4.4503
_cell_length_b 4.4503
_cell_length_c 4.4503
_cell_angle_alpha 60.00
_cell_angle_beta 60.00
_cell_angle_gamma 60.00
_space_group_name_H-M_alt 'P 1'
_space_group_IT_number 1
loop_
_space_group_symop_operation_xyz
'x,y,z'
loop_
_atom_site_label
_atom_site_fract_x
_atom_site_fract_y
_atom_site_fract_z
Co1 0.7500 0.7500 0.7500
Lu1 0.5000 0.5000 0.5000
Os1 0.0000 0.0000 0.0000
Os2 0.2500 0.2500 0.2500
```

Tb3Sb2Te | PBE | relaxed

Properties
SG ... C2/c (15)
Uncorrected energy ... -0.4017 Ry/atom

Structure (CIF):
```
data_Tb3Sb2Te
_cell_length_a 7.6059
_cell_length_b 7.6059
_cell_length_c 7.6009
_cell_angle_alpha 99.62
_cell_angle_beta 99.62
_cell_angle_gamma 119.98
_space_group_name_H-M_alt 'P 1'
_space_group_IT_number 1
loop_
_space_group_symop_operation_xyz
'x,y,z'
loop_
_atom_site_label
_atom_site_fract_x
_atom_site_fract_y
_atom_site_fract_z
Sb1 0.9163 0.0837 0.2500
Sb2 0.2526 0.7474 0.2500
Sb3 0.7474 0.2526 0.7500
Sb4 0.0837 0.9163 0.7500
Tb1 0.5000 0.0000 0.0000
Tb2 0.8454 0.6731 0.0014
Tb3 0.3269 0.1546 0.4986
Tb4 0.0000 0.5000 0.5000
Tb5 0.6731 0.8454 0.5014
Tb6 0.1546 0.3269 0.9986
Te1 0.5814 0.4186 0.2500
Te2 0.4186 0.5814 0.7500
```

AlZnCoTc | PBE | relaxed

Properties
SG ... F-43m (216)
Uncorrected energy ... -0.4176 Ry/atom

Structure (CIF):
```
data_AlZnCoTc
_cell_length_a 4.2081
_cell_length_b 4.2081
_cell_length_c 4.2081
_cell_angle_alpha 60.00
_cell_angle_beta 60.00
_cell_angle_gamma 60.00
_space_group_name_H-M_alt 'P 1'
_space_group_IT_number 1
loop_
_space_group_symop_operation_xyz
'x,y,z'
loop_
_atom_site_label
_atom_site_fract_x
_atom_site_fract_y
_atom_site_fract_z
Al1 0.0000 0.0000 0.0000
Co1 0.7500 0.7500 0.7500
Tc1 0.2500 0.2500 0.2500
Zn1 0.5000 0.5000 0.5000
```

SmTe | PBE | relaxed

Properties
SG ... P-6m2 (187)
Uncorrected energy ... -0.3891 Ry/atom

Structure (CIF):
```
data_SmTe
_cell_length_a 4.1902
_cell_length_b 4.1901
_cell_length_c 4.1044
_cell_angle_alpha 90.00
_cell_angle_beta 90.00
_cell_angle_gamma 120.00
_space_group_name_H-M_alt 'P 1'
_space_group_IT_number 1
loop_
_space_group_symop_operation_xyz
'x,y,z'
loop_
_atom_site_label
_atom_site_fract_x
_atom_site_fract_y
_atom_site_fract_z
Sm1 0.6667 0.3333 0.7500
Te1 0.3333 0.6667 0.2500
```

LaNd3Te3O4 | PBE | relaxed

Properties
SG ... Amm2 (38)
Uncorrected energy ... -0.5152 Ry/atom

Structure (CIF):
```
data_LaNd3Te3O4
_cell_length_a 8.8647
_cell_length_b 7.0467
_cell_length_c 7.0467
_cell_angle_alpha 33.93
_cell_angle_beta 90.00
_cell_angle_gamma 90.00
_space_group_name_H-M_alt 'P 1'
_space_group_IT_number 1
loop_
_space_group_symop_operation_xyz
'x,y,z'
loop_
_atom_site_label
_atom_site_fract_x
_atom_site_fract_y
_atom_site_fract_z
La1 0.0000 0.9931 0.9931
Nd1 0.2396 0.3234 0.3234
Nd2 0.7604 0.3234 0.3234
Nd3 0.5000 0.9718 0.9718
O1 0.5000 0.3820 0.3820
O2 0.0000 0.4134 0.4134
O3 0.2469 0.9089 0.9089
O4 0.7531 0.9089 0.9089
Te1 0.3383 0.6368 0.6368
Te2 0.6617 0.6368 0.6368
Te3 0.0000 0.6965 0.6965
```

HfFeSiNi | PBE | relaxed

Properties
SG ... F-43m (216)
Uncorrected energy ... -0.5552 Ry/atom

Structure (CIF):
```
data_HfFeSiNi
_cell_length_a 4.2796
_cell_length_b 4.2796
_cell_length_c 4.2796
_cell_angle_alpha 60.00
_cell_angle_beta 60.00
_cell_angle_gamma 60.00
_space_group_name_H-M_alt 'P 1'
_space_group_IT_number 1
loop_
_space_group_symop_operation_xyz
'x,y,z'
loop_
_atom_site_label
_atom_site_fract_x
_atom_site_fract_y
_atom_site_fract_z
Fe1 0.7500 0.7500 0.7500
Hf1 0.2500 0.2500 0.2500
Ni1 0.5000 0.5000 0.5000
Si1 0.0000 0.0000 0.0000
```

TaSiIr | PBE | relaxed

Properties
SG ... P-62m (189)
Uncorrected energy ... -0.6695 Ry/atom

Structure (CIF):
```
data_TaSiIr
_cell_length_a 7.3139
_cell_length_b 7.3139
_cell_length_c 2.9060
_cell_angle_alpha 90.00
_cell_angle_beta 90.00
_cell_angle_gamma 120.00
_space_group_name_H-M_alt 'P 1'
_space_group_IT_number 1
loop_
_space_group_symop_operation_xyz
'x,y,z'
loop_
_atom_site_label
_atom_site_fract_x
_atom_site_fract_y
_atom_site_fract_z
Ir1 0.6401 0.0000 0.5000
Ir2 0.3599 0.3599 0.5000
Ir3 0.0000 0.6401 0.5000
Si1 0.6667 0.3333 0.0000
Si2 0.3333 0.6667 0.0000
Si3 0.0000 0.0000 0.5000
Ta1 0.3021 0.0000 0.0000
Ta2 0.0000 0.3021 0.0000
Ta3 0.6979 0.6979 0.0000
```

BaPmNO | PBE | relaxed

Properties
SG ... Pca2_1 (29)
Uncorrected energy ... -0.5055 Ry/atom

Structure (CIF):
```
data_BaPmNO
_cell_length_a 5.6989
_cell_length_b 7.2925
_cell_length_c 8.5698
_cell_angle_alpha 90.00
_cell_angle_beta 90.00
_cell_angle_gamma 90.00
_space_group_name_H-M_alt 'P 1'
_space_group_IT_number 1
loop_
_space_group_symop_operation_xyz
'x,y,z'
loop_
_atom_site_label
_atom_site_fract_x
_atom_site_fract_y
_atom_site_fract_z
Ba1 0.0257 0.5810 0.3634
Ba2 0.5257 0.9190 0.3634
Ba3 0.0257 0.0810 0.6366
Ba4 0.5257 0.4190 0.6366
N1 0.6060 0.0985 0.1019
N2 0.1060 0.4015 0.1019
N3 0.6060 0.5985 0.8981
N4 0.1060 0.9015 0.8981
O1 0.5547 0.5591 0.3523
O2 0.0547 0.9409 0.3523
O3 0.5547 0.0591 0.6477
O4 0.0547 0.4409 0.6477
Pm1 0.0160 0.0871 0.1131
Pm2 0.5160 0.4129 0.1131
Pm3 0.0160 0.5871 0.8869
Pm4 0.5160 0.9129 0.8869
```

Ba2In4PdPt | PBE | relaxed

Properties
SG ... Amm2 (38)
Uncorrected energy ... -0.2835 Ry/atom

Structure (CIF):
```
data_Ba2In4PdPt
_cell_length_a 8.1623
_cell_length_b 6.2861
_cell_length_c 6.2861
_cell_angle_alpha 43.04
_cell_angle_beta 90.00
_cell_angle_gamma 90.00
_space_group_name_H-M_alt 'P 1'
_space_group_IT_number 1
loop_
_space_group_symop_operation_xyz
'x,y,z'
loop_
_atom_site_label
_atom_site_fract_x
_atom_site_fract_y
_atom_site_fract_z
Ba1 0.5000 0.0539 0.0539
Ba2 0.0000 0.9472 0.9472
In1 0.3067 0.3372 0.3372
In2 0.6933 0.3372 0.3372
In3 0.1942 0.6625 0.6625
In4 0.8058 0.6625 0.6625
Pd1 0.0000 0.2228 0.2228
Pt1 0.5000 0.7767 0.7767
```

TbHoAg2Sb4 | PBE | relaxed

Properties
SG ... P4mm (99)
Uncorrected energy ... -0.3333 Ry/atom

Structure (CIF):
```
data_TbHoAg2Sb4
_cell_length_a 4.3334
_cell_length_b 4.3334
_cell_length_c 10.4270
_cell_angle_alpha 90.00
_cell_angle_beta 90.00
_cell_angle_gamma 90.00
_space_group_name_H-M_alt 'P 1'
_space_group_IT_number 1
loop_
_space_group_symop_operation_xyz
'x,y,z'
loop_
_atom_site_label
_atom_site_fract_x
_atom_site_fract_y
_atom_site_fract_z
Ag1 0.5000 0.0000 0.5004
Ag2 0.0000 0.5000 0.5004
Ho1 0.0000 0.0000 0.7643
Sb1 0.0000 0.0000 0.3152
Sb2 0.5000 0.5000 0.6859
Sb3 0.5000 0.0000 0.9990
Sb4 0.0000 0.5000 0.9990
Tb1 0.5000 0.5000 0.2358
```

SrZn2O4 | PBE | relaxed

Properties
SG ... Fd-3m (227)
Uncorrected energy ... -0.3453 Ry/atom

Structure (CIF):
```
data_SrZn2O4
_cell_length_a 6.4078
_cell_length_b 6.4078
_cell_length_c 6.4078
_cell_angle_alpha 120.01
_cell_angle_beta 89.99
_cell_angle_gamma 120.01
_space_group_name_H-M_alt 'P 1'
_space_group_IT_number 1
loop_
_space_group_symop_operation_xyz
'x,y,z'
loop_
_atom_site_label
_atom_site_fract_x
_atom_site_fract_y
_atom_site_fract_z
O1 0.1894 0.7930 0.3964
O2 0.6034 0.2070 0.3964
O3 0.6036 0.7930 0.3966
O4 0.1464 0.2930 0.4394
O5 0.6036 0.2070 0.8106
O6 0.1464 0.7070 0.8534
O7 0.1466 0.2930 0.8536
O8 0.5606 0.7070 0.8536
Sr1 0.0000 0.0000 0.0000
Sr2 0.7500 0.5000 0.2500
Zn1 0.3750 0.7500 0.1250
Zn2 0.8750 0.2500 0.6250
Zn3 0.3750 0.7500 0.6250
Zn4 0.3750 0.2500 0.6250
```